# PBE-GGA GeAsCl3, relaxed
data_GeAsCl3
_space_group_name_H-M_alt 'P 1'
_space_group_IT_number 1
_cell_length_a 5.132
_cell_length_b 5.132
_cell_length_c 5.132
_cell_angle_alpha 90.00
_cell_angle_beta 90.00
_cell_angle_gamma 90.00
loop_
_space_group_symop_operation_xyz
'x,y,z'
loop_
_atom_site_label
_atom_site_type_symbol
_atom_site_fract_x
_atom_site_fract_y
_atom_site_fract_z
Ge1 Ge 0.000 0.000 0.000
As1 As 0.500 0.500 0.500
Cl1 Cl 0.000 0.000 0.500
Cl2 Cl 0.000 0.500 0.000
Cl3 Cl 0.500 0.000 0.000
# Space-group type ... Pm-3m
# ΔE_f (raw) ... 15 meV/atom
# D(E_F) ... 1.250 states/eV per atom

# PBE-GGA Ge2AsCl, relaxed
data_Ge2AsCl
_space_group_name_H-M_alt 'P 1'
_space_group_IT_number 1
_cell_length_a 7.195
_cell_length_b 7.195
_cell_length_c 7.911
_cell_angle_alpha 90.00
_cell_angle_beta 90.00
_cell_angle_gamma 90.00
loop_
_space_group_symop_operation_xyz
'x,y,z'
loop_
_atom_site_label
_atom_site_type_symbol
_atom_site_fract_x
_atom_site_fract_y
_atom_site_fract_z
Ge1 Ge 0.220 0.750 0.125
Ge2 Ge 0.250 0.220 0.875
Ge3 Ge 0.250 0.280 0.375
Ge4 Ge 0.280 0.750 0.625
Ge5 Ge 0.720 0.250 0.625
Ge6 Ge 0.750 0.720 0.375
Ge7 Ge 0.750 0.780 0.875
Ge8 Ge 0.780 0.250 0.125
As1 As 0.000 0.000 0.000
As2 As 0.000 0.500 0.250
As3 As 0.500 0.000 0.750
As4 As 0.500 0.500 0.500
Cl1 Cl 0.000 0.000 0.500
Cl2 Cl 0.000 0.500 0.750
Cl3 Cl 0.500 0.000 0.250
Cl4 Cl 0.500 0.500 0.000
# Space-group type ... I-42d
# ΔE_f (raw) ... 104 meV/atom
# D(E_F) ... 0.193 states/eV per atom

# PBE-GGA GeAsCl, relaxed
data_GeAsCl
_space_group_name_H-M_alt 'P 1'
_space_group_IT_number 1
_cell_length_a 5.658
_cell_length_b 15.771
_cell_length_c 3.864
_cell_angle_alpha 90.00
_cell_angle_beta 90.00
_cell_angle_gamma 90.00
loop_
_space_group_symop_operation_xyz
'x,y,z'
loop_
_atom_site_label
_atom_site_type_symbol
_atom_site_fract_x
_atom_site_fract_y
_atom_site_fract_z
Ge1 Ge 0.029 0.202 0.000
Ge2 Ge 0.471 0.702 0.500
Ge3 Ge 0.529 0.298 0.500
Ge4 Ge 0.971 0.798 0.000
As1 As 0.231 0.834 0.500
As2 As 0.269 0.334 0.000
As3 As 0.731 0.666 0.000
As4 As 0.769 0.166 0.500
Cl1 Cl 0.231 0.591 0.500
Cl2 Cl 0.269 0.091 0.000
Cl3 Cl 0.731 0.909 0.000
Cl4 Cl 0.769 0.409 0.500
# Space-group type ... Pnnm
# ΔE_f (raw) ... -407 meV/atom
# D(E_F) ... 0.000 states/eV per atom

# PBE-GGA Ge3AsCl, relaxed
data_Ge3AsCl
_space_group_name_H-M_alt 'P 1'
_space_group_IT_number 1
_cell_length_a 5.167
_cell_length_b 5.167
_cell_length_c 5.167
_cell_angle_alpha 90.00
_cell_angle_beta 90.00
_cell_angle_gamma 90.00
loop_
_space_group_symop_operation_xyz
'x,y,z'
loop_
_atom_site_label
_atom_site_type_symbol
_atom_site_fract_x
_atom_site_fract_y
_atom_site_fract_z
Ge1 Ge 0.000 0.000 0.500
Ge2 Ge 0.000 0.500 0.000
Ge3 Ge 0.500 0.000 0.000
As1 As 0.000 0.000 0.000
Cl1 Cl 0.500 0.500 0.500
# Space-group type ... Pm-3m
# ΔE_f (raw) ... 621 meV/atom
# D(E_F) ... 0.867 states/eV per atom

# PBE-GGA GeAs3Cl, relaxed
data_GeAs3Cl
_space_group_name_H-M_alt 'P 1'
_space_group_IT_number 1
_cell_length_a 4.905
_cell_length_b 4.905
_cell_length_c 4.905
_cell_angle_alpha 90.00
_cell_angle_beta 90.00
_cell_angle_gamma 90.00
loop_
_space_group_symop_operation_xyz
'x,y,z'
loop_
_atom_site_label
_atom_site_type_symbol
_atom_site_fract_x
_atom_site_fract_y
_atom_site_fract_z
Ge1 Ge 0.000 0.000 0.000
As1 As 0.000 0.500 0.500
As2 As 0.500 0.000 0.500
As3 As 0.500 0.500 0.000
Cl1 Cl 0.500 0.500 0.500
# Space-group type ... Pm-3m
# ΔE_f (raw) ... 1053 meV/atom
# D(E_F) ... 0.693 states/eV per atom

# PBE-GGA GeAs3Cl, relaxed
data_GeAs3Cl
_space_group_name_H-M_alt 'P 1'
_space_group_IT_number 1
_cell_length_a 4.991
_cell_length_b 4.991
_cell_length_c 4.991
_cell_angle_alpha 90.00
_cell_angle_beta 90.00
_cell_angle_gamma 90.00
loop_
_space_group_symop_operation_xyz
'x,y,z'
loop_
_atom_site_label
_atom_site_type_symbol
_atom_site_fract_x
_atom_site_fract_y
_atom_site_fract_z
Ge1 Ge 0.000 0.000 0.000
As1 As 0.000 0.000 0.500
As2 As 0.000 0.500 0.000
As3 As 0.500 0.000 0.000
Cl1 Cl 0.500 0.500 0.500
# Space-group type ... Pm-3m
# ΔE_f (raw) ... 764 meV/atom
# D(E_F) ... 0.560 states/eV per atom

# PBE-GGA GeAsCl, relaxed
data_GeAsCl
_space_group_name_H-M_alt 'P 1'
_space_group_IT_number 1
_cell_length_a 3.823
_cell_length_b 6.416
_cell_length_c 7.228
_cell_angle_alpha 89.99
_cell_angle_beta 89.89
_cell_angle_gamma 89.96
loop_
_space_group_symop_operation_xyz
'x,y,z'
loop_
_atom_site_label
_atom_site_type_symbol
_atom_site_fract_x
_atom_site_fract_y
_atom_site_fract_z
Ge1 Ge 0.000 0.000 0.000
Ge2 Ge 0.500 0.500 0.079
As1 As 0.000 0.630 0.889
As2 As 0.499 0.130 0.189
Cl1 Cl 0.000 0.153 0.724
Cl2 Cl 0.498 0.652 0.355
# Space-group type ... P1
# ΔE_f (raw) ... -396 meV/atom
# D(E_F) ... 0.000 states/eV per atom

# PBE-GGA Ge2AsCl8, relaxed
data_Ge2AsCl8
_space_group_name_H-M_alt 'P 1'
_space_group_IT_number 1
_cell_length_a 7.396
_cell_length_b 7.396
_cell_length_c 7.170
_cell_angle_alpha 100.90
_cell_angle_beta 100.90
_cell_angle_gamma 88.92
loop_
_space_group_symop_operation_xyz
'x,y,z'
loop_
_atom_site_label
_atom_site_type_symbol
_atom_site_fract_x
_atom_site_fract_y
_atom_site_fract_z
Ge1 Ge 0.145 0.145 0.113
Ge2 Ge 0.855 0.855 0.887
As1 As 0.000 0.000 0.500
Cl1 Cl 0.077 0.736 0.681
Cl2 Cl 0.205 0.205 0.770
Cl3 Cl 0.264 0.923 0.319
Cl4 Cl 0.358 0.358 0.245
Cl5 Cl 0.642 0.642 0.755
Cl6 Cl 0.736 0.077 0.681
Cl7 Cl 0.795 0.795 0.230
Cl8 Cl 0.923 0.264 0.319
# Space-group type ... C2/m
# ΔE_f (raw) ... -615 meV/atom
# D(E_F) ... 0.598 states/eV per atom